[1]
Entry from Alexandria via LeMat-Bulk: crystalline MgZnTe2 at its relaxed geometry (PBE).

a b c (Å): 7.2863 4.2093 4.2093
angles (deg): 121.72 107.70 72.30
Closest atoms and distances in Å follow each position.
Fractional positions:
Te1 0.2417 0.2744 0.7256  3 Zn 2.83-3.11, 3 Mg 2.91-3.03
Te2 0.7583 0.7256 0.2744  3 Zn 2.83-3.11, 3 Mg 2.91-3.03
Zn1 0.0000 0.0000 0.0000  6 Te 2.83-3.11
Mg1 0.5000 0.5000 0.5000  6 Te 2.91-3.03

formation energy (no corrections): -44.2 kJ per mole of atoms


[2]
Entry from Alexandria via LeMat-Bulk: crystalline RbBa2SrNi at its relaxed geometry (PBE).

a b c (Å): 6.3494 6.3494 6.2369
angles (deg): 90.00 90.00 90.00
Closest atoms and distances in Å follow each position.
Fractional positions:
Sr1 0.0000 0.0000 0.5000  2 Ni 3.12
Ba1 0.5000 0.0000 0.0000  2 Ni 3.17
Ba2 0.0000 0.5000 0.0000  2 Ni 3.17
Ni1 0.0000 0.0000 0.0000  2 Sr 3.12, 4 Ba 3.17
Rb1 0.5000 0.5000 0.5000  8 Ba 4.45, 4 Sr 4.49

formation energy: 0.066 eV/atom


[3]
Entry from Alexandria via LeMat-Bulk: crystalline La2RhCl at its relaxed geometry (PBE).

a b c (Å): 4.1271 4.1271 8.2050
angles (deg): 75.43 75.43 60.00
Closest atoms and distances in Å follow each position.
Fractional positions:
La1 0.0680 0.0680 0.7961  3 Rh 2.86
La2 0.2668 0.2668 0.1996  3 Rh 2.87
Rh1 0.6677 0.6677 0.9968  6 La 2.86-2.87
Cl1 0.4975 0.4975 0.5075  6 La 3.29-3.39

formation energy (no corrections): -121.6 kJ per mole of atoms
energy relative to the lowest polymorph listed for this composition: 0.10 eV per formula unit


Question: Number 3 is which compound?
Answer: La2RhCl